Record 1
In3ReSe: relaxed, GGA-PBEsol.

Cell: 5.201 5.201 5.201 Å, 90.00 90.00 90.00°
Last column: magnetic moment on the atom in μB.
Fractional coordinates of all 5 atoms:
Re: 0.500 0.500 0.500  3.06
Se: 0.000 0.000 0.000  -0.01
In: 0.000 0.500 0.000  -0.03
In: 0.000 0.000 0.500  -0.03
In: 0.500 0.000 0.000  -0.03

Computed properties:
- D(E_F): 4.46 states/eV per cell
- ΔE_f (raw): 7.65 eV per formula unit
- Magnetic moment: 3.42 μB/cell
- ρ: 7.2 Mg/m³


Record 2
Mn3OF6: relaxed, GGA-PBEsol.

Cell: 5.464 9.209 6.846 Å, 56.24 66.71 83.57°
Last column: magnetic moment on the atom in μB.
Fractional coordinates of all 20 atoms:
Mn: 0.615 0.737 0.614  4.12
Mn: 0.715 0.080 0.040  4.35
Mn: 0.258 0.408 0.790  4.35
Mn: 0.742 0.592 0.210  4.35
Mn: 0.285 0.920 0.960  4.35
Mn: 0.385 0.263 0.386  4.12
O: 0.533 0.947 0.611  0.01
O: 0.467 0.053 0.389  0.01
F: 0.702 0.642 0.905  0.09
F: 0.067 0.101 0.741  0.10
F: 0.888 0.300 0.937  0.08
F: 0.578 0.844 0.111  0.08
F: 0.688 0.543 0.556  0.06
F: 0.259 0.666 0.656  0.10
F: 0.741 0.334 0.344  0.10
F: 0.312 0.457 0.444  0.06
F: 0.422 0.156 0.889  0.08
F: 0.112 0.700 0.063  0.08
F: 0.933 0.899 0.259  0.10
F: 0.298 0.358 0.095  0.09

Computed properties:
- D(E_F): 6.10 states/eV per cell
- ΔE_f (raw): -20.03 eV per formula unit
- Magnetic moment: 28.00 μB/cell
- ρ: 3.8 Mg/m³


Record 3
CaMoPb: relaxed, GGA-PBEsol.

Cell: 4.942 4.942 4.942 Å, 60.00 60.00 60.00°
Last column: magnetic moment on the atom in μB.
Fractional coordinates of all 3 atoms:
Pb: 0.500 0.500 0.500  -0.10
Mo: 0.000 0.000 0.000  3.37
Ca: 0.250 0.250 0.250  0.12

Computed properties:
- D(E_F): 1.17 states/eV per cell
- ΔE_f: 3.87 eV/f.u.
- Magnetic moment: 3.97 μB/cell
- ρ: 6.7 Mg/m³


Record 4
La3ZrSb: relaxed, GGA-PBEsol.

Cell: 5.912 5.912 5.912 Å, 90.00 90.00 90.00°
Last column: magnetic moment on the atom in μB.
Fractional coordinates of all 5 atoms:
Sb: 0.000 0.000 0.000  0.01
Zr: 0.500 0.500 0.500  1.14
La: 0.000 0.500 0.000  0.15
La: 0.000 0.000 0.500  0.15
La: 0.500 0.000 0.000  0.15

Computed properties:
- D(E_F): 10.27 states/eV per cell
- ΔE_f (raw): 2.16 eV per formula unit
- Magnetic moment: 3.55 μB/cell
- ρ: 5.1 Mg/m³